# CuRe2As, relaxed, DFT PBE-GGA
data_CuRe2As
_cell_length_a 2.659
_cell_length_b 2.659
_cell_length_c 9.296
_cell_angle_alpha 90.00
_cell_angle_beta 90.00
_cell_angle_gamma 112.50
_space_group_name_H-M_alt 'P 1'
_space_group_IT_number 1
_space_group_name_Hall 'P 1'
loop_
_atom_site_label
_atom_site_fract_x
_atom_site_fract_y
_atom_site_fract_z
Re1 0.000 0.000 0.514
Re2 0.000 0.000 0.986
Cu1 0.500 0.500 0.750
As1 0.500 0.500 0.250
# **Final energy**: -30.89 eV for the cell shown
# **ΔE_f**: 0.6878 eV/atom

# CuRe2As, relaxed, DFT PBE-GGA
data_CuRe2As
_cell_length_a 4.378
_cell_length_b 4.378
_cell_length_c 4.378
_cell_angle_alpha 60.00
_cell_angle_beta 60.00
_cell_angle_gamma 60.00
_space_group_name_H-M_alt 'P 1'
_space_group_IT_number 1
_space_group_name_Hall 'P 1'
loop_
_atom_site_label
_atom_site_fract_x
_atom_site_fract_y
_atom_site_fract_z
Re1 0.250 0.250 0.250
Re2 0.000 0.000 0.000
Cu1 0.750 0.750 0.750
As1 0.500 0.500 0.500
# **Final energy**: -31.63 eV for the cell shown
# **ΔE_f**: 0.5034 eV/atom

# CuRe2As, relaxed, DFT PBE-GGA
data_CuRe2As
_cell_length_a 5.047
_cell_length_b 5.047
_cell_length_c 5.047
_cell_angle_alpha 144.12
_cell_angle_beta 130.20
_cell_angle_gamma 62.88
_space_group_name_H-M_alt 'P 1'
_space_group_IT_number 1
_space_group_name_Hall 'P 1'
loop_
_atom_site_label
_atom_site_fract_x
_atom_site_fract_y
_atom_site_fract_z
Re1 0.736 0.236 0.500
Re2 0.999 0.999 0.000
Cu1 0.264 0.764 0.500
As1 0.501 0.501 0.000
# **Final energy**: -31.94 eV for the cell shown
# **ΔE_f**: 0.4257 eV/atom

# CuRe2As, relaxed, DFT PBE-GGA
data_CuRe2As
_cell_length_a 5.605
_cell_length_b 5.605
_cell_length_c 5.605
_cell_angle_alpha 149.87
_cell_angle_beta 136.21
_cell_angle_gamma 54.08
_space_group_name_H-M_alt 'P 1'
_space_group_IT_number 1
_space_group_name_Hall 'P 1'
loop_
_atom_site_label
_atom_site_fract_x
_atom_site_fract_y
_atom_site_fract_z
Re1 0.546 0.546 0.000
Re2 0.954 0.954 0.000
As1 0.750 0.250 0.500
Cu1 0.250 0.750 0.500
# **Final energy**: -31.98 eV for the cell shown
# **ΔE_f**: 0.4146 eV/atom

# CuReAs2, relaxed, DFT PBE-GGA
data_CuReAs2
_cell_length_a 4.677
_cell_length_b 4.677
_cell_length_c 4.677
_cell_angle_alpha 134.15
_cell_angle_beta 121.85
_cell_angle_gamma 77.04
_space_group_name_H-M_alt 'P 1'
_space_group_IT_number 1
_space_group_name_Hall 'P 1'
loop_
_atom_site_label
_atom_site_fract_x
_atom_site_fract_y
_atom_site_fract_z
As1 0.523 0.523 0.000
As2 0.977 0.977 0.000
Cu1 0.750 0.250 0.500
Re1 0.250 0.750 0.500
# **Final energy**: -24.17 eV for the cell shown
# **Energy relative to the lowest polymorph listed for this composition**: 248 meV per atom
# **ΔE_f**: 0.4187 eV/atom

# Cu4ReAs, relaxed, DFT PBE-GGA
data_Cu4ReAs
_cell_length_a 4.840
_cell_length_b 4.840
_cell_length_c 4.840
_cell_angle_alpha 60.00
_cell_angle_beta 60.00
_cell_angle_gamma 60.00
_space_group_name_H-M_alt 'P 1'
_space_group_IT_number 1
_space_group_name_Hall 'P 1'
loop_
_atom_site_label
_atom_site_fract_x
_atom_site_fract_y
_atom_site_fract_z
As1 0.000 0.000 0.000
Re1 0.750 0.750 0.750
Cu1 0.375 0.375 0.375
Cu2 0.375 0.874 0.375
Cu3 0.375 0.375 0.874
Cu4 0.874 0.375 0.375
# **Final energy**: -30.49 eV for the cell shown
# **ΔE_f**: 0.4991 eV/atom

# CuReAs, relaxed, DFT PBE-GGA
data_CuReAs
_cell_length_a 4.066
_cell_length_b 4.066
_cell_length_c 4.066
_cell_angle_alpha 60.00
_cell_angle_beta 60.00
_cell_angle_gamma 60.00
_space_group_name_H-M_alt 'P 1'
_space_group_IT_number 1
_space_group_name_Hall 'P 1'
loop_
_atom_site_label
_atom_site_fract_x
_atom_site_fract_y
_atom_site_fract_z
As1 0.750 0.750 0.750
Re1 0.500 0.500 0.500
Cu1 0.000 0.000 0.000
# **Final energy**: -19.75 eV for the cell shown
# **Energy relative to the lowest polymorph listed for this composition**: 155 meV per atom
# **ΔE_f**: 0.4815 eV/atom

# CuReAs2, relaxed, DFT PBE-GGA
data_CuReAs2
_cell_length_a 4.407
_cell_length_b 4.407
_cell_length_c 4.407
_cell_angle_alpha 60.00
_cell_angle_beta 60.00
_cell_angle_gamma 60.00
_space_group_name_H-M_alt 'P 1'
_space_group_IT_number 1
_space_group_name_Hall 'P 1'
loop_
_atom_site_label
_atom_site_fract_x
_atom_site_fract_y
_atom_site_fract_z
Re1 0.500 0.500 0.500
As1 0.750 0.750 0.750
As2 0.250 0.250 0.250
Cu1 0.000 0.000 0.000
# **Final energy**: -24.17 eV for the cell shown
# **Energy relative to the lowest polymorph listed for this composition**: 248 meV per atom
# **ΔE_f**: 0.4184 eV/atom

# CuReAs2, relaxed, DFT PBE-GGA
data_CuReAs2
_cell_length_a 4.447
_cell_length_b 4.447
_cell_length_c 4.447
_cell_angle_alpha 60.00
_cell_angle_beta 60.00
_cell_angle_gamma 60.00
_space_group_name_H-M_alt 'P 1'
_space_group_IT_number 1
_space_group_name_Hall 'P 1'
loop_
_atom_site_label
_atom_site_fract_x
_atom_site_fract_y
_atom_site_fract_z
Re1 0.750 0.750 0.750
Cu1 0.500 0.500 0.500
As1 0.250 0.250 0.250
As2 0.000 0.000 0.000
# **Final energy**: -22.82 eV for the cell shown
# **Energy relative to the lowest polymorph listed for this composition**: 586 meV per atom
# **ΔE_f**: 0.7568 eV/atom

# CuReAs2, relaxed, DFT PBE-GGA
data_CuReAs2
_cell_length_a 2.814
_cell_length_b 2.814
_cell_length_c 9.843
_cell_angle_alpha 90.00
_cell_angle_beta 90.00
_cell_angle_gamma 117.53
_space_group_name_H-M_alt 'P 1'
_space_group_IT_number 1
_space_group_name_Hall 'P 1'
loop_
_atom_site_label
_atom_site_fract_x
_atom_site_fract_y
_atom_site_fract_z
Cu1 0.000 0.000 0.512
As1 0.000 0.000 0.950
As2 0.500 0.500 0.304
Re1 0.500 0.500 0.734
# **Final energy**: -24.25 eV for the cell shown
# **Energy relative to the lowest polymorph listed for this composition**: 229 meV per atom
# **ΔE_f**: 0.3992 eV/atom

# CuReTc2As, relaxed, DFT PBE-GGA
data_CuReTc2As
_cell_length_a 4.480
_cell_length_b 4.501
_cell_length_c 4.480
_cell_angle_alpha 90.00
_cell_angle_beta 90.00
_cell_angle_gamma 90.00
_space_group_name_H-M_alt 'P 1'
_space_group_IT_number 1
_space_group_name_Hall 'P 1'
loop_
_atom_site_label
_atom_site_fract_x
_atom_site_fract_y
_atom_site_fract_z
As1 0.500 0.500 0.500
Tc1 0.500 0.000 0.000
Tc2 0.000 0.000 0.500
Re1 0.000 0.500 0.000
Cu1 0.000 0.000 0.000
# **Final energy**: -32.80 eV for the cell shown
# **ΔE_f**: 1.8242 eV/atom

# ZnCuRe2As, relaxed, DFT PBE-GGA
data_ZnCuRe2As
_cell_length_a 4.637
_cell_length_b 4.530
_cell_length_c 4.637
_cell_angle_alpha 90.00
_cell_angle_beta 90.00
_cell_angle_gamma 90.00
_space_group_name_H-M_alt 'P 1'
_space_group_IT_number 1
_space_group_name_Hall 'P 1'
loop_
_atom_site_label
_atom_site_fract_x
_atom_site_fract_y
_atom_site_fract_z
As1 0.000 0.500 0.000
Re1 0.000 0.000 0.500
Re2 0.500 0.000 0.000
Zn1 0.000 0.000 0.000
Cu1 0.500 0.500 0.500
# **Final energy**: -24.26 eV for the cell shown
# **ΔE_f**: 2.1315 eV/atom